# 1
12
Lattice="-3.5305 6.9143 3.8482 3.5305 -6.9143 3.8482 3.5305 6.9143 -3.8482" Properties=species:S:1:pos:R:3 comment="Ac3CdRh2 (PBE, relaxed)" e_form_ev_per_fu=-3.1 pbc="T T T"
Ac 3.5305 -2.9593 1.9241
Ac 0.0000 0.0000 1.9241
Ac 3.5305 2.9593 1.9241
Ac 0.0000 3.9549 1.9241
Ac 0.0000 0.0000 5.7724
Ac 0.0000 9.8736 1.9241
Cd 3.5305 0.0000 0.0000
Cd 0.0000 6.9143 0.0000
Rh 1.4637 1.9094 0.0000
Rh 1.4637 -1.9094 3.8482
Rh 2.0668 8.8237 0.0000
Rh 2.0668 5.0048 3.8482


# 2
16
Lattice="9.4428 0.0000 0.0000 -4.7214 8.1777 0.0000 0.0000 0.0000 6.8367" Properties=species:S:1:pos:R:3 comment="La3Pm2Sn3 (PBE, relaxed)" e_form_ev_per_fu=-5.6 pbc="T T T"
La -1.1728 2.0314 1.7092
La -3.5486 6.1463 5.1275
La 2.3457 0.0000 1.7092
La 1.1728 2.0314 5.1275
La 7.0972 0.0000 5.1275
La 3.5486 6.1463 1.7092
Pm 0.0000 5.4518 0.0000
Pm 0.0000 5.4518 3.4184
Pm 4.7214 2.7259 0.0000
Pm 4.7214 2.7259 3.4184
Sn -1.8593 3.2203 5.1275
Sn -2.8622 4.9574 1.7092
Sn 3.7185 0.0000 5.1275
Sn 1.8593 3.2203 1.7092
Sn 5.7243 0.0000 1.7092
Sn 2.8622 4.9574 5.1275


# 3
4
Lattice="-1.6412 2.4539 5.8028 1.6412 -2.4539 5.8028 1.6412 2.4539 -5.8028" Properties=species:S:1:pos:R:3 comment="MoPb2W (PBE, relaxed)" e_form_ev_per_fu=3.2 e_above_lowest_polymorph_ev_per_atom=0.388 pbc="T T T"
Mo 0.0000 0.0000 0.0000
Pb 1.6412 0.0000 3.2969
Pb 0.0000 0.0000 6.5543
W 0.0000 2.4539 4.0042


# 4
4
Lattice="2.0658 1.1927 7.4242 -2.0658 1.1927 7.4242 0.0000 -2.3854 7.4242" Properties=species:S:1:pos:R:3 comment="La2CuSi (PBE, relaxed)" formation_energy_uncorrected_ev_per_fu=-1.58 pbc="T T T"
La 0.0000 0.0000 0.0000
La 0.0000 0.0000 4.0869
Cu 0.0000 0.0000 16.9285
Si 0.0000 0.0000 9.4295


# 5
4
Lattice="1.6802 0.9701 9.6027 -1.6802 0.9701 9.6027 0.0000 -1.9402 9.6027" Properties=species:S:1:pos:R:3 comment="Te2AsRh (PBE, relaxed)" formation_energy_uncorrected_ev_per_fu=2.19 pbc="T T T"
Te 0.0000 0.0000 2.5375
Te 0.0000 0.0000 26.2706
As 0.0000 0.0000 14.4040
Rh 0.0000 0.0000 0.0000


# 6
4
Lattice="0.0000 3.7927 3.7927 3.7927 0.0000 3.7927 3.7927 3.7927 0.0000" Properties=species:S:1:pos:R:3 comment="EuLuHgSb (PBE, relaxed)" formation_energy_uncorrected_ev_per_fu=-2.32 pbc="T T T"
Eu 0.0000 0.0000 0.0000
Lu 3.7927 3.7927 3.7927
Hg 1.8964 1.8964 1.8964
Sb 5.6891 5.6891 5.6891


Copy entry 1 word for word.
12
Lattice="-3.5305 6.9143 3.8482 3.5305 -6.9143 3.8482 3.5305 6.9143 -3.8482" Properties=species:S:1:pos:R:3 comment="Ac3CdRh2 (PBE, relaxed)" e_form_ev_per_fu=-3.1 pbc="T T T"
Ac 3.5305 -2.9593 1.9241
Ac 0.0000 0.0000 1.9241
Ac 3.5305 2.9593 1.9241
Ac 0.0000 3.9549 1.9241
Ac 0.0000 0.0000 5.7724
Ac 0.0000 9.8736 1.9241
Cd 3.5305 0.0000 0.0000
Cd 0.0000 6.9143 0.0000
Rh 1.4637 1.9094 0.0000
Rh 1.4637 -1.9094 3.8482
Rh 2.0668 8.8237 0.0000
Rh 2.0668 5.0048 3.8482


Q: Which formula does entry 2 have?
A: La3Pm2Sn3